{"formula": "Ce5ErTe6", "functional": "PBE-GGA", "state": "relaxed", "e_form_raw_ev_per_atom": -1.34, "e_tot_ev_per_atom": -5.7659, "space_group": "C2/m (12)", "n_ef_per_ev_cell": 36.02, "lattice_angstrom": [[3.8646, -6.7093, 0.0000], [3.8646, 6.7093, 0.0000], [-2.5913, 0.0000, 7.2579]], "species": ["Ce", "Ce", "Ce", "Ce", "Ce", "Er", "Te", "Te", "Te", "Te", "Te", "Te"], "fractional_positions": [[0.0000, 0.0000, 0.0000], [0.1651, 0.8349, 0.5000], [0.3278, 0.6722, 0.0000], [0.6722, 0.3278, 0.0000], [0.8349, 0.1651, 0.5000], [0.5000, 0.5000, 0.5000], [0.0946, 0.4198, 0.2571], [0.2595, 0.2595, 0.7497], [0.4198, 0.0946, 0.2571], [0.5802, 0.9054, 0.7429], [0.7405, 0.7405, 0.2503], [0.9054, 0.5802, 0.7429]]}